--- w ---
VASP calculation (PBE) on a geometry-optimized Pr3BiRh structure.

total magnetization: 0.000 μB/atom

Geometry as POSCAR:
```
Pr3BiRh
1.0
8.161 0.000 0.000
0.000 4.667 0.000
-3.667 0.000 8.018
Pr Bi Rh
6 2 2
direct
0.042 0.250 0.244
0.330 0.250 0.924
0.330 0.750 0.591
0.670 0.250 0.409
0.670 0.750 0.076
0.958 0.750 0.756
0.321 0.750 0.198
0.679 0.250 0.802
0.078 0.250 0.600
0.922 0.750 0.400
```

--- x ---
VASP calculation (PBE) on a geometry-optimized Pr3BiRh structure.

total magnetization: 0.000 μB/atom

Geometry as POSCAR:
```
Pr3BiRh
1.0
5.524 0.000 0.000
0.000 5.524 0.000
0.000 0.000 5.524
Pr Bi Rh
3 1 1
direct
0.000 0.000 0.500
0.000 0.500 0.000
0.500 0.000 0.000
0.500 0.500 0.500
0.000 0.000 0.000
```

Least stable: x

--- w ---
VASP calculation (PBE) on a geometry-optimized PrBiS3 structure.

total magnetization: 0.000 μB/atom

Geometry as POSCAR:
```
PrBiS3
1.0
8.025 0.000 0.000
0.000 4.044 0.000
-0.264 0.000 8.049
Pr Bi S
2 2 6
direct
0.121 0.250 0.280
0.879 0.750 0.720
0.348 0.750 0.830
0.652 0.250 0.170
0.120 0.250 0.896
0.179 0.750 0.523
0.383 0.750 0.174
0.617 0.250 0.826
0.821 0.250 0.477
0.880 0.750 0.104
```

--- x ---
VASP calculation (PBE) on a geometry-optimized PrBiS3 structure.

total magnetization: 0.000 μB/atom

Geometry as POSCAR:
```
PrBiS3
1.0
7.488 0.000 0.000
0.000 7.830 0.000
-4.623 0.000 9.574
Pr Bi S
4 4 12
direct
0.196 0.132 0.216
0.196 0.368 0.716
0.804 0.632 0.284
0.804 0.868 0.784
0.202 0.641 0.168
0.202 0.859 0.668
0.798 0.141 0.332
0.798 0.359 0.832
0.107 0.142 0.919
0.107 0.358 0.419
0.128 0.621 0.905
0.128 0.879 0.405
0.488 0.622 0.728
0.488 0.878 0.228
0.512 0.122 0.772
0.512 0.378 0.272
0.872 0.121 0.595
0.872 0.379 0.095
0.893 0.642 0.581
0.893 0.858 0.081
```

Least stable: x